PrEuTe after structural relaxation. Source: Alexandria via LeMat-Bulk, functional PBE.

Cell and atoms, written as POSCAR:
```
PrEuTe
1.0
3.9919 0.0000 0.0000
0.0000 3.9919 0.0000
0.0000 0.0000 13.1220
Pr Eu Te
2 2 2
Direct
0.0000 0.0000 0.0000 Pr
0.5000 0.5000 0.5000 Pr
0.0000 0.0000 0.7135 Eu
0.5000 0.5000 0.2135 Eu
0.0000 0.0000 0.3695 Te
0.5000 0.5000 0.8695 Te
```

Results
E above lowest polymorph	0.000	eV per atom
raw total energy	-0.508	Ry/atom
raw formation energy	-841.0	meV/atom
volume	34.85	Å³/atom
spin magnetization	8.1	μB per formula unit